Here is crystalline CaAsOsSe2 at its relaxed geometry from Alexandria via LeMat-Bulk. Energies are from GGA-PBEsol.

Properties
Formation energy without anion corrections (eV per formula unit): -0.40

Cell: 5.159 5.159 4.517 Å, 90.00 90.00 90.00°
Sites, in units of the cell vectors:
Ca 0.000 0.000 0.000
As 0.500 0.500 0.000
Os 0.500 0.500 0.500
Se 0.000 0.500 0.500
Se 0.500 0.000 0.500